(1)
VASP calculation (GGA-PBE) on a geometry-optimized Rb2Y2P3O12 structure.

Unit cell a=10.8001 b=10.8001 c=10.8001 alpha=90.00 beta=90.00 gamma=90.00
Each line ends with the local moment (μB).
Fractional coordinates of all 76 atoms:
O  0.4942  0.9393  0.2253  0.09
Rb  0.6819  0.1819  0.3181  0.00
O  0.7760  0.5463  0.7015  0.07
O  0.7647  0.0993  0.8501  0.08
Rb  0.3181  0.6819  0.1819  0.00
O  0.2253  0.4942  0.9393  0.09
Rb  0.8181  0.8181  0.8181  0.00
O  0.8293  0.4769  0.9196  0.09
Rb  0.4510  0.9510  0.5490  0.00
O  0.9769  0.5804  0.1707  0.09
P  0.4823  0.7835  0.8745  -0.01
O  0.0804  0.3293  0.0231  0.09
O  0.7240  0.4537  0.2015  0.07
P  0.7165  0.1255  0.9823  -0.01
O  0.5058  0.4393  0.2747  0.09
Y  0.8352  0.1648  0.6648  -0.01
Y  0.6021  0.6021  0.6021  -0.01
O  0.2353  0.5993  0.6499  0.08
Rb  0.1819  0.3181  0.6819  0.00
O  0.7353  0.9007  0.3501  0.08
O  0.9942  0.5607  0.7747  0.09
P  0.5177  0.2835  0.6255  -0.01
O  0.9537  0.2985  0.2760  0.07
O  0.9007  0.3501  0.7353  0.08
Rb  0.5490  0.4510  0.9510  0.00
P  0.2165  0.3745  0.0177  -0.01
O  0.9196  0.8293  0.4769  0.09
O  0.4007  0.1499  0.2647  0.08
P  0.0177  0.2165  0.3745  -0.01
O  0.3293  0.0231  0.0804  0.09
O  0.6499  0.2353  0.5993  0.08
O  0.0607  0.7253  0.0058  0.09
P  0.2835  0.6255  0.5177  -0.01
O  0.2985  0.2760  0.9537  0.07
Y  0.3979  0.1021  0.8979  -0.01
O  0.7015  0.7760  0.5463  0.07
O  0.9393  0.2253  0.4942  0.09
O  0.0463  0.7985  0.2240  0.07
O  0.2240  0.0463  0.7985  0.07
O  0.7747  0.9942  0.5607  0.09
P  0.6255  0.5177  0.2835  -0.01
Rb  0.9510  0.5490  0.4510  0.00
O  0.5463  0.7015  0.7760  0.07
O  0.4393  0.2747  0.5058  0.09
O  0.0993  0.8501  0.7647  0.08
O  0.5804  0.1707  0.9769  0.09
O  0.5993  0.6499  0.2353  0.08
O  0.7253  0.0058  0.0607  0.09
P  0.1255  0.9823  0.7165  -0.01
O  0.2747  0.5058  0.4393  0.09
O  0.0058  0.0607  0.7253  0.09
O  0.0231  0.0804  0.3293  0.09
O  0.8501  0.7647  0.0993  0.08
O  0.4537  0.2015  0.7240  0.07
Y  0.3352  0.3352  0.3352  -0.01
O  0.4196  0.6707  0.5231  0.09
Y  0.1648  0.6648  0.8352  -0.01
O  0.6707  0.5231  0.4196  0.09
O  0.5607  0.7747  0.9942  0.09
O  0.1707  0.9769  0.5804  0.09
O  0.2015  0.7240  0.4537  0.07
Rb  0.0490  0.0490  0.0490  0.00
P  0.8745  0.4823  0.7835  -0.01
O  0.4769  0.9196  0.8293  0.09
P  0.3745  0.0177  0.2165  -0.01
O  0.5231  0.4196  0.6707  0.09
O  0.2647  0.4007  0.1499  0.08
P  0.7835  0.8745  0.4823  -0.01
Y  0.1021  0.8979  0.3979  -0.01
O  0.3501  0.7353  0.9007  0.08
O  0.7985  0.2240  0.0463  0.07
Y  0.8979  0.3979  0.1021  -0.01
O  0.2760  0.9537  0.2985  0.07
P  0.9823  0.7165  0.1255  -0.01
O  0.1499  0.2647  0.4007  0.08
Y  0.6648  0.8352  0.1648  -0.01

Summary:
uncorrected formation energy	-2.66	eV per atom
energy	-7.426	eV per atom
symmetry	No. 198

=====

(2)
VASP calculation (GGA-PBE) on a geometry-optimized RbYP4O12 structure.

Unit cell a=8.9857 b=10.4728 c=11.1148 alpha=106.75 beta=90.00 gamma=90.00
Fractional coordinates of all 72 atoms:
O  0.7880  0.4310  0.0959
Rb  0.5644  0.6961  0.9600
P  0.1095  0.6771  0.9767
Y  0.7261  0.5014  0.3158
O  0.8262  0.7658  0.7424
O  0.4528  0.8275  0.5972
P  0.6095  0.8229  0.5233
P  0.3905  0.1771  0.4767
P  0.8905  0.3229  0.0233
O  0.2083  0.4735  0.2547
Y  0.7739  0.0014  0.8158
O  0.6668  0.6829  0.4814
O  0.5420  0.9017  0.8248
O  0.5472  0.1725  0.4028
O  0.1597  0.1855  0.8419
O  0.9707  0.0364  0.1692
O  0.4580  0.0983  0.1752
Rb  0.4356  0.3039  0.0400
P  0.0277  0.2515  0.7791
O  0.7917  0.5265  0.7453
P  0.3279  0.5395  0.3651
O  0.5828  0.6447  0.2167
P  0.5907  0.1476  0.2576
O  0.3332  0.3171  0.5186
O  0.6597  0.3145  0.6581
P  0.1721  0.0395  0.8651
P  0.6721  0.4605  0.6349
P  0.0907  0.3524  0.2424
O  0.6738  0.2658  0.2424
O  0.7083  0.0265  0.2453
Rb  0.0644  0.8039  0.5400
O  0.9172  0.1447  0.7167
O  0.0472  0.3275  0.0972
O  0.2917  0.9735  0.7547
P  0.4723  0.7515  0.2791
O  0.5293  0.5364  0.6692
O  0.7585  0.9383  0.0082
O  0.3403  0.6855  0.3419
O  0.2880  0.0690  0.4041
O  0.5962  0.1704  0.8001
O  0.0454  0.6408  0.0992
Y  0.2261  0.9986  0.1842
O  0.8332  0.1829  0.9814
O  0.4038  0.8296  0.1999
P  0.5277  0.2485  0.7209
O  0.4172  0.3553  0.7833
O  0.2585  0.5617  0.4918
O  0.9546  0.3592  0.9008
O  0.2415  0.0617  0.9918
O  0.4546  0.1408  0.5992
Y  0.2739  0.4986  0.6842
O  0.7120  0.9310  0.5959
Rb  0.9356  0.1961  0.4600
O  0.2120  0.5690  0.9041
O  0.7415  0.4383  0.5082
O  0.0962  0.3296  0.6999
O  0.9038  0.6704  0.3001
P  0.4093  0.8524  0.7424
O  0.9528  0.6725  0.9028
P  0.9723  0.7485  0.2209
O  0.9580  0.4017  0.3248
O  0.1738  0.2342  0.2576
P  0.9093  0.6476  0.7576
O  0.0420  0.5983  0.6752
O  0.0293  0.9636  0.8308
O  0.8403  0.8145  0.1581
O  0.5454  0.8592  0.4008
P  0.8279  0.9605  0.1349
O  0.0828  0.8553  0.2833
O  0.1668  0.8171  0.0186
O  0.4707  0.4636  0.3308
O  0.3262  0.7342  0.7576

Summary:
uncorrected formation energy	-2.45	eV per atom
energy	-7.371	eV per atom
symmetry	No. 14

=====

(3)
VASP calculation (GGA-PBE) on a geometry-optimized RbZnPO4 structure.

Unit cell a=5.0264 b=5.6473 c=8.1323 alpha=90.00 beta=111.99 gamma=90.00
Fractional coordinates of all 14 atoms:
P  0.8324  0.2500  0.6910
O  0.5565  0.2500  0.5202
Zn  0.1578  0.2500  0.4899
Rb  0.4059  0.2500  0.1183
Rb  0.5941  0.7500  0.8817
Zn  0.8422  0.7500  0.5101
O  0.0234  0.0319  0.6762
P  0.1676  0.7500  0.3090
O  0.2220  0.7500  0.1377
O  0.7780  0.2500  0.8623
O  0.0234  0.4681  0.6762
O  0.9766  0.5319  0.3238
O  0.9766  0.9681  0.3238
O  0.4435  0.7500  0.4798

Summary:
uncorrected formation energy	-2.03	eV per atom
energy	-5.956	eV per atom
symmetry	No. 11

=====

(4)
VASP calculation (GGA-PBE) on a geometry-optimized RbZnPO2 structure.

Unit cell a=4.3647 b=4.3647 c=4.6651 alpha=90.00 beta=90.00 gamma=90.00
Each line ends with the local moment (μB).
Fractional coordinates of all 5 atoms:
O  0.5000  0.0000  0.0000  0.53
O  0.0000  0.5000  0.0000  0.53
Rb  0.5000  0.5000  0.5000  0.05
P  0.0000  0.0000  0.5000  0.68
Zn  0.0000  0.0000  0.0000  0.02

Summary:
uncorrected formation energy	0.09	eV per atom
energy	-3.421	eV per atom
symmetry	No. 123
energy above the most stable polymorph in this dataset	528	meV/atom

=====

> What is the energy in the first record?

-7.426 eV per atom